1.
BaNaCo2 after structural relaxation, computed with GGA-PBEsol.

Properties
The calculation puts the formation energy from the elements at 1.12 eV per atom. The calculation puts the density of states at the Fermi level at 11.3 states/eV per cell.

Unit cell a=5.0006 b=5.0006 c=5.0006 alpha=60.00 beta=60.00 gamma=60.00
Positions (direct):
Ba: 0.0000 0.0000 0.0000
Na: 0.5000 0.5000 0.5000
Co: 0.2500 0.2500 0.2500
Co: 0.7500 0.7500 0.7500

2.
BaNbCo2 after structural relaxation, computed with GGA-PBEsol.

Properties
The calculation puts the formation energy from the elements at 0.95 eV per atom. The calculation puts the density of states at the Fermi level at 4.0 states/eV per cell.

Unit cell a=4.6272 b=4.6272 c=4.6272 alpha=60.00 beta=60.00 gamma=60.00
Positions (direct):
Ba: 0.0000 0.0000 0.0000
Nb: 0.5000 0.5000 0.5000
Co: 0.2500 0.2500 0.2500
Co: 0.7500 0.7500 0.7500

3.
Ba3Nb2CoO9 after structural relaxation, computed with GGA-PBEsol.

Properties
The value obtained for the uncorrected formation energy is -3751 kJ/mol of formula units. The calculation puts the density of states at the Fermi level at 5.2 states/eV per cell.

Unit cell a=5.7568 b=5.7568 c=7.0705 alpha=90.00 beta=90.00 gamma=120.00
Positions (direct):
Ba: 0.0000 0.0000 0.0000
Ba: 0.3333 0.6667 0.6642
Ba: 0.6667 0.3333 0.3358
Nb: 0.3333 0.6667 0.1792
Nb: 0.6667 0.3333 0.8208
Co: 0.0000 0.0000 0.5000
O: 0.0000 0.5000 0.0000
O: 0.1689 0.3378 0.3294
O: 0.1689 0.8311 0.3294
O: 0.3378 0.1689 0.6706
O: 0.5000 0.0000 0.0000
O: 0.5000 0.5000 0.0000
O: 0.6622 0.8311 0.3294
O: 0.8311 0.1689 0.6706
O: 0.8311 0.6622 0.6706